This record from the Alexandria database describes Pm7NdSn4 after structural relaxation. The functional is PBE-GGA.

abc: 5.862 9.668 7.658
angles: 79.43 67.49 72.35
Positions (direct):
Sn 0.434 0.767 0.365
Pm 0.683 0.392 0.242
Pm 0.942 0.373 0.743
Sn 0.303 0.327 0.067
Pm 0.500 0.000 0.000
Pm 0.058 0.627 0.257
Pm 0.210 0.114 0.465
Pm 0.317 0.608 0.758
Pm 0.790 0.886 0.535
Nd 0.000 0.000 0.000
Sn 0.697 0.673 0.933
Sn 0.566 0.233 0.635

Results
magnetization	0.000	μB/f.u.
DFT total energy	-57.7	eV/cell
formation energy from the elements	-0.31	eV/atom